(1)
{"formula": "Mg2Al2P5", "functional": "PBE-GGA", "state": "optimized geometry", "lattice": [[-3.720, -1.563, 1.574], [-3.220, -1.674, -2.364], [0.326, -13.290, 0.415]], "species": ["Mg", "Mg", "Al", "Al", "P", "P", "P", "P", "P"], "fractional_positions": [[0.250, 0.250, 0.599], [0.750, 0.750, 0.401], [0.296, 0.296, 0.098], [0.704, 0.704, 0.902], [0.000, 0.000, 0.500], [0.356, 0.356, 0.258], [0.644, 0.644, 0.742], [0.381, 0.381, 0.893], [0.619, 0.619, 0.107]], "dft_energy_ry_per_atom": -0.325, "e_form_mev_per_atom": -236}


(2)
{"formula": "Mg2AlP", "functional": "PBE-GGA", "state": "optimized geometry", "lattice": [[6.285, 0.000, -0.006], [0.000, 4.012, 0.000], [-0.762, 0.000, 6.739]], "species": ["Mg", "Mg", "Mg", "Mg", "Al", "Al", "P", "P"], "fractional_positions": [[0.588, 0.500, 0.887], [0.841, 0.000, 0.232], [0.298, 0.000, 0.134], [0.245, 0.500, 0.512], [0.935, 0.000, 0.789], [0.810, 0.500, 0.543], [0.541, 0.500, 0.266], [0.323, 0.000, 0.760]], "dft_energy_ry_per_atom": -0.243, "e_form_mev_per_atom": -228, "e_above_lowest_polymorph_ev_per_atom": 0.017}


(3)
{"formula": "Mg2AlP", "functional": "PBE-GGA", "state": "optimized geometry", "lattice": [[8.878, 0.000, 0.020], [0.000, 3.777, 0.000], [-6.483, 0.000, 9.548]], "species": ["Mg", "Mg", "Mg", "Mg", "Mg", "Mg", "Mg", "Mg", "Al", "Al", "Al", "Al", "P", "P", "P", "P"], "fractional_positions": [[0.774, 0.000, 0.587], [0.774, 0.500, 0.087], [0.143, 0.000, 0.237], [0.143, 0.500, 0.737], [0.185, 0.000, 0.525], [0.185, 0.500, 0.025], [0.522, 0.000, 0.186], [0.522, 0.500, 0.686], [0.855, 0.000, 0.926], [0.855, 0.500, 0.426], [0.493, 0.000, 0.850], [0.493, 0.500, 0.350], [0.294, 0.000, 0.924], [0.294, 0.500, 0.424], [0.859, 0.000, 0.285], [0.859, 0.500, 0.785]], "dft_energy_ry_per_atom": -0.244, "e_form_mev_per_atom": -228, "e_above_lowest_polymorph_ev_per_atom": 0.016}


(4)
{"formula": "MgAlP", "functional": "PBE-GGA", "state": "optimized geometry", "lattice": [[-0.502, -3.279, 1.750], [2.986, 0.696, 2.160], [-4.442, 3.376, 5.053]], "species": ["P", "P", "Mg", "Mg", "Al", "Al"], "fractional_positions": [[0.000, 0.500, 0.213], [0.500, 0.000, 0.787], [0.000, 0.500, 0.859], [0.500, 0.000, 0.141], [0.000, 0.000, 0.500], [0.500, 0.500, 0.500]], "dft_energy_ry_per_atom": -0.276, "e_form_mev_per_atom": -179}


(5)
{"formula": "Mg2Al2P", "functional": "PBE-GGA", "state": "optimized geometry", "lattice": [[-0.972, -0.019, -3.905], [-2.461, -1.695, 2.694], [-3.634, 6.662, 0.872]], "species": ["Mg", "Mg", "Al", "Al", "P"], "fractional_positions": [[0.667, 0.333, 0.843], [0.333, 0.667, 0.157], [0.667, 0.333, 0.425], [0.333, 0.667, 0.575], [0.000, 0.000, 0.000]], "dft_energy_ry_per_atom": -0.240, "e_form_mev_per_atom": -55, "e_above_lowest_polymorph_ev_per_atom": 0.000}


(6)
{"formula": "MgAlP2", "functional": "PBE-GGA", "state": "optimized geometry", "lattice": [[-1.808, 2.794, -1.399], [-2.630, 1.583, 1.899], [2.644, 5.359, 2.627]], "species": ["Al", "Mg", "P", "P"], "fractional_positions": [[0.250, 0.250, 0.250], [0.750, 0.750, 0.750], [0.992, 0.992, 0.024], [0.508, 0.508, 0.476]], "dft_energy_ry_per_atom": -0.322, "e_form_mev_per_atom": -338, "e_above_lowest_polymorph_ev_per_atom": 0.000}


(7)
{"formula": "MgAlP2", "functional": "PBE-GGA", "state": "optimized geometry", "lattice": [[5.690, 0.018, 0.020], [4.540, 3.430, 0.020], [0.834, 0.281, 3.587]], "species": ["Al", "Mg", "P", "P"], "fractional_positions": [[0.475, 0.475, 0.355], [0.762, 0.762, 0.906], [0.023, 0.023, 0.822], [0.240, 0.240, 0.417]], "dft_energy_ry_per_atom": -0.311, "e_form_mev_per_atom": -198, "e_above_lowest_polymorph_ev_per_atom": 0.140}


(8)
{"formula": "MgAlP2", "functional": "PBE-GGA", "state": "optimized geometry", "lattice": [[3.478, 0.000, 0.000], [0.000, 2.857, 0.020], [0.000, 0.421, 6.864]], "species": ["Al", "Mg", "P", "P"], "fractional_positions": [[0.500, 0.250, 0.250], [0.500, 0.750, 0.750], [0.000, 0.114, 0.002], [0.000, 0.386, 0.498]], "dft_energy_ry_per_atom": -0.304, "e_form_mev_per_atom": -102, "e_above_lowest_polymorph_ev_per_atom": 0.236}